[1]
A relaxed structure of Ho6C3S2Cl, computed with PBE.

```
Ho6C3S2Cl
1.0
-2.3667 -1.2180 2.5419
-0.9583 -6.4893 -4.0018
7.4930 -0.7152 3.9692
S Ho Cl C
2 6 1 3
Direct
0.1638 0.3278 0.3276
0.8362 0.6722 0.6724
0.3405 0.3966 0.6811
0.0106 0.7175 0.0212
0.3211 0.9383 0.6422
0.6789 0.0617 0.3578
0.6595 0.6034 0.3189
0.9894 0.2825 0.9788
0.5000 0.0000 0.0000
0.8336 0.1666 0.6672
0.5000 0.5000 0.0000
0.1664 0.8334 0.3328
```

**V**: 225.0 Å³ per cell
**Crystal system**: monoclinic
**Calculated density**: 8.3 g/cm³


[2]
A relaxed structure of HoScCCl, computed with PBE.

```
HoScCCl
1.0
-3.2458 -0.8225 0.9092
-0.5692 -2.5509 2.2817
-0.9400 3.7819 6.5918
Cl Ho Sc C
1 1 1 1
Direct
0.4543 0.7171 0.3268
0.7004 0.9635 0.5931
0.5731 0.8356 0.9661
0.9562 0.2188 0.8170
```

**V**: 77.1 Å³ per cell
**Crystal system**: monoclinic
**Calculated density**: 5.5 g/cm³


[3]
A relaxed structure of TbHoCCl, computed with PBE.

```
TbHoCCl
1.0
3.6284 -0.0005 -0.0001
-1.8138 3.1426 0.0000
-1.8137 -1.0470 6.8847
Cl C Tb Ho
1 1 1 1
Direct
0.9647 0.3805 0.3601
0.3084 0.5521 0.8759
0.5107 0.1533 0.6793
0.0940 0.9449 0.0543
```

**V**: 78.5 Å³ per cell
**Crystal system**: trigonal
**Calculated density**: 7.9 g/cm³


[4]
A relaxed structure of Ho4Te2CCl, computed with PBE.

```
Ho4Te2CCl
1.0
-1.5726 3.5785 0.3671
-5.2693 -2.7406 4.1438
2.1423 0.2574 6.6686
Ho Te C Cl
4 2 1 1
Direct
0.5000 0.6916 0.3004
0.5000 0.3084 0.6996
0.0000 0.2987 0.2747
0.0000 0.7013 0.7253
0.5000 0.0000 0.5000
0.0000 0.0000 0.0000
0.0000 0.5000 0.5000
0.5000 0.5000 0.0000
```

**V**: 189.6 Å³ per cell
**Crystal system**: monoclinic
**Calculated density**: 8.4 g/cm³


[5]
A relaxed structure of Ho3TeCCl, computed with PBE.

```
Ho3TeCCl
1.0
-1.2120 2.5273 2.5985
-7.7356 -1.4270 -2.2202
0.1840 -6.9803 6.8749
C Cl Te Ho
2 2 2 6
Direct
0.7500 0.3684 0.8642
0.2500 0.6316 0.1358
0.7500 0.8595 0.4143
0.2500 0.1405 0.5857
0.7500 0.8612 0.8184
0.2500 0.1388 0.1816
0.2500 0.1646 0.8681
0.2500 0.6282 0.3763
0.7500 0.8354 0.1319
0.7500 0.3718 0.6237
0.7500 0.4179 0.1198
0.2500 0.5821 0.8802
```

**V**: 305.0 Å³ per cell
**Crystal system**: monoclinic
**Calculated density**: 7.3 g/cm³


[6]
A relaxed structure of HoThCCl, computed with PBE.

```
HoThCCl
1.0
-0.8509 -3.0020 1.7910
0.0773 0.0019 -3.6049
7.6266 0.0776 0.1612
C Th Ho Cl
1 1 1 1
Direct
0.2920 0.5437 0.8516
0.0932 0.9448 0.0529
0.5085 0.1521 0.6760
0.9843 0.3902 0.3892
```

**V**: 82.3 Å³ per cell
**Crystal system**: monoclinic
**Calculated density**: 9.0 g/cm³


| no. | raw formation energy (eV per atom) |
| --- | --- |
| 1 | -1.262 |
| 2 | -0.716 |
| 3 | -1.088 |
| 4 | -1.090 |
| 5 | -1.035 |
| 6 | -1.019 |